Record 1
# BaTmPa2S8 | the Alexandria database | GGA-PBE | optimized geometry
# * E_tot: -6.4070 eV per atom
# * N(E_F): 0.500 states/eV/atom
data_BaTmPa2S8
_symmetry_space_group_name_H-M 'P 1'
_symmetry_Int_Tables_number 1
_cell_length_a 6.430
_cell_length_b 8.496
_cell_length_c 6.448
_cell_angle_alpha 90.00
_cell_angle_beta 91.80
_cell_angle_gamma 90.00
loop_
_symmetry_equiv_pos_as_xyz
'x,y,z'
loop_
_atom_site_label
_atom_site_fract_x
_atom_site_fract_y
_atom_site_fract_z
Ba1 0.000 0.000 0.000
Tm1 0.000 0.500 0.000
Pa1 0.500 0.252 0.500
Pa2 0.500 0.748 0.500
S1 0.230 0.284 0.199
S2 0.230 0.716 0.199
S3 0.302 0.500 0.684
S4 0.309 0.000 0.648
S5 0.691 0.000 0.352
S6 0.698 0.500 0.316
S7 0.770 0.284 0.801
S8 0.770 0.716 0.801

---

Record 2
# CaPm3Ge2 | the Alexandria database | GGA-PBE | optimized geometry
# * formation energy: -2.98 eV/f.u.
# * N(E_F): 0.904 states/eV/atom
data_CaPm3Ge2
_symmetry_space_group_name_H-M 'P 1'
_symmetry_Int_Tables_number 1
_cell_length_a 9.114
_cell_length_b 9.114
_cell_length_c 9.417
_cell_angle_alpha 113.37
_cell_angle_beta 113.37
_cell_angle_gamma 28.48
loop_
_symmetry_equiv_pos_as_xyz
'x,y,z'
loop_
_atom_site_label
_atom_site_fract_x
_atom_site_fract_y
_atom_site_fract_z
Ca1 0.110 0.110 0.121
Ca2 0.890 0.890 0.879
Pm1 0.046 0.046 0.690
Pm2 0.306 0.306 0.118
Pm3 0.347 0.347 0.525
Pm4 0.653 0.653 0.475
Pm5 0.694 0.694 0.882
Pm6 0.954 0.954 0.310
Ge1 0.236 0.236 0.710
Ge2 0.493 0.493 0.141
Ge3 0.507 0.507 0.859
Ge4 0.764 0.764 0.290